1.
Computed, not measured: a geometry-optimized La2YAs2 structure at the PBEsol level of DFT.

Cell: 7.9437 7.9437 4.1372 Å, 90.00 90.00 90.00°
Space group P4/mbm (No. 127)
Symmetry-distinct sites (fractional):
La 0.1489 0.3511 0.0000 [4 per cell]
Y 0.0000 0.0000 0.5000 [2 per cell]
As 0.1575 0.6575 0.5000 [4 per cell]

Energy of formation from the pure elements ... -29.05 kcal/mol of atoms
E above lowest polymorph ... 0 meV per atom



2.
Computed, not measured: a geometry-optimized TcHS2Cl structure at the PBEsol level of DFT.

Cell: 4.4546 4.4546 5.0082 Å, 90.00 90.00 90.00°
Space group P4/mmm (No. 123)
Symmetry-distinct sites (fractional):
Tc 0.0000 0.0000 0.0000 [1 per cell]
H 0.5000 0.5000 0.5000 [1 per cell]
S 0.0000 0.5000 0.0000 [2 per cell]
Cl 0.0000 0.0000 0.5000 [1 per cell]

Total DFT energy (no corrections) ... -4.63 eV per atom



Number 1: density of states at the Fermi level 0.895 states/eV/atom. Number 2: density of states at the Fermi level 0.614 states/eV/atom.